Computed, not measured: an optimized crystal structure of Er5Te4As at the PBE level of DFT.

a b c (Å): 4.206 4.206 15.942
angles (deg): 97.58 97.58 90.00
Atoms (fractional coordinates):
Er 0.087 0.087 0.174
Er 0.500 0.500 0.000
Er 0.913 0.913 0.826
Er 0.288 0.288 0.576
Er 0.712 0.712 0.424
Te 0.397 0.397 0.795
Te 0.810 0.810 0.619
Te 0.190 0.190 0.381
Te 0.603 0.603 0.205
As 0.000 0.000 0.000

Computed properties:
Energy: -5.3113 eV per atom
M_tot: 0.000 μB/f.u.

=====

Computed, not measured: an optimized crystal structure of Er3Te12As5 at the PBE level of DFT.

a b c (Å): 15.116 15.116 15.116
angles (deg): 109.47 109.47 109.47
Atoms (fractional coordinates):
As 0.125 0.375 0.250
As 0.000 0.500 0.000
As 0.000 0.000 0.000
As 0.375 0.250 0.125
As 0.500 0.000 0.500
As 0.500 0.500 0.000
As 0.125 0.750 0.375
As 0.750 0.125 0.875
As 0.750 0.625 0.375
As 0.375 0.125 0.750
As 0.625 0.875 0.250
As 0.500 0.500 0.500
As 0.500 0.000 0.000
As 0.000 0.000 0.500
As 0.250 0.375 0.625
As 0.250 0.875 0.125
As 0.000 0.500 0.500
As 0.875 0.250 0.625
As 0.625 0.750 0.875
As 0.875 0.625 0.750
Te 0.716 0.135 0.047
Te 0.330 0.547 0.412
Te 0.953 0.365 0.284
Te 0.547 0.216 0.135
Te 0.581 0.716 0.670
Te 0.953 0.588 0.170
Te 0.330 0.784 0.419
Te 0.088 0.919 0.135
Te 0.588 0.953 0.670
Te 0.716 0.581 0.170
Te 0.784 0.453 0.365
Te 0.830 0.912 0.047
Te 0.135 0.716 0.547
Te 0.365 0.412 0.081
Te 0.081 0.912 0.365
Te 0.419 0.135 0.588
Te 0.081 0.170 0.216
Te 0.453 0.670 0.088
Te 0.830 0.919 0.284
Te 0.135 0.419 0.088
Te 0.365 0.953 0.784
Te 0.588 0.635 0.419
Te 0.912 0.830 0.547
Te 0.784 0.330 0.919
Te 0.412 0.365 0.581
Te 0.088 0.170 0.453
Te 0.216 0.670 0.081
Te 0.170 0.081 0.716
Te 0.635 0.047 0.216
Te 0.865 0.581 0.912
Te 0.547 0.330 0.912
Te 0.581 0.865 0.412
Te 0.919 0.830 0.784
Te 0.919 0.088 0.635
Te 0.865 0.284 0.453
Te 0.170 0.088 0.953
Te 0.635 0.588 0.919
Te 0.412 0.047 0.330
Te 0.284 0.419 0.830
Te 0.216 0.547 0.635
Te 0.912 0.081 0.865
Te 0.670 0.216 0.581
Te 0.453 0.784 0.865
Te 0.047 0.412 0.830
Te 0.419 0.284 0.330
Te 0.047 0.635 0.716
Te 0.670 0.453 0.588
Te 0.284 0.865 0.953
Er 0.750 0.375 0.125
Er 0.875 0.750 0.125
Er 0.375 0.750 0.625
Er 0.250 0.125 0.375
Er 0.875 0.125 0.250
Er 0.375 0.625 0.250
Er 0.625 0.375 0.750
Er 0.125 0.875 0.750
Er 0.750 0.875 0.625
Er 0.625 0.250 0.375
Er 0.125 0.250 0.875
Er 0.250 0.625 0.875

Computed properties:
Energy: -4.0969 eV per atom
M_tot: 0.000 μB/f.u.

=====

Computed, not measured: an optimized crystal structure of ErTeAs at the PBE level of DFT.

a b c (Å): 4.051 7.488 9.872
angles (deg): 90.00 90.00 90.00
Atoms (fractional coordinates):
As 0.750 0.401 0.540
As 0.250 0.099 0.040
As 0.750 0.901 0.960
As 0.250 0.599 0.460
Te 0.250 0.085 0.648
Te 0.750 0.415 0.148
Te 0.250 0.585 0.852
Te 0.750 0.915 0.352
Er 0.250 0.733 0.159
Er 0.750 0.267 0.841
Er 0.250 0.233 0.341
Er 0.750 0.767 0.659

Computed properties:
Energy: -5.2694 eV per atom
M_tot: 0.000 μB/f.u.